No. 1
Computed, not measured: a relaxed structure of TlSiB2S at the PBE-GGA level of DFT.

abc: 3.9133 3.9133 5.8192
angles: 90.00 90.00 90.00
Last column: nearest neighbours and their distance in Å.
Element x y z (fractional)
Tl 0.0000 0.0000 0.0000  4 Si 2.77, 2 S 2.91
Si 0.5000 0.5000 0.0000  4 Tl 2.77
B 0.0000 0.5000 0.5000  2 S 1.96
B 0.5000 0.0000 0.5000  2 S 1.96
S 0.0000 0.0000 0.5000  4 B 1.96

Values from the calculation:
Formation energy from raw total energies = 1.57 eV per atom

No. 2
Computed, not measured: a relaxed structure of Sm3BS6 at the PBE-GGA level of DFT.

abc: 8.5616 8.5616 6.3865
angles: 90.00 90.00 101.72
Last column: nearest neighbours and their distance in Å.
Element x y z (fractional)
Sm 0.1031 0.8969 0.5000  6 S 2.77-2.87
Sm 0.2151 0.4196 0.5907  6 S 2.71-3.00
Sm 0.4196 0.2151 0.0907  6 S 2.71-3.00
Sm 0.5804 0.7849 0.5907  6 S 2.71-3.00
Sm 0.7849 0.5804 0.0907  6 S 2.71-3.00
Sm 0.8969 0.1031 0.0000  6 S 2.77-2.87
B 0.3053 0.6947 0.1398  4 S 1.96-1.99
B 0.6947 0.3053 0.6398  4 S 1.96-1.99
S 0.0988 0.6081 0.2698  1 B 1.96
S 0.1347 0.1880 0.2972  4 Sm 2.71-2.77
S 0.1880 0.1347 0.7972  4 Sm 2.71-2.77
S 0.2925 0.7075 0.8345  1 B 1.96
S 0.3919 0.9012 0.2698  1 B 1.96
S 0.4448 0.5552 0.2517  1 B 1.99
S 0.5552 0.4448 0.7517  1 B 1.99
S 0.6081 0.0988 0.7698  1 B 1.96
S 0.7075 0.2925 0.3345  1 B 1.96
S 0.8120 0.8653 0.2972  4 Sm 2.71-2.77
S 0.8653 0.8120 0.7972  4 Sm 2.71-2.77
S 0.9012 0.3919 0.7698  1 B 1.96

Values from the calculation:
Formation energy from raw total energies = -1.62 eV per atom

No. 3
Computed, not measured: a relaxed structure of SmB2S6 at the PBE-GGA level of DFT.

abc: 8.3414 8.3414 6.0981
angles: 94.24 94.24 68.40
Last column: nearest neighbours and their distance in Å.
Element x y z (fractional)
Sm 0.1477 0.8523 0.7500  6 S 2.78-2.93
Sm 0.8523 0.1477 0.2500  6 S 2.78-2.93
B 0.1564 0.3105 0.6493  4 S 1.87-2.04
B 0.3105 0.1564 0.1493  4 S 1.87-2.04
B 0.6895 0.8436 0.8507  4 S 1.87-2.04
B 0.8436 0.6895 0.3507  4 S 1.87-2.04
S 0.0016 0.7992 0.3403  1 B 1.87
S 0.0741 0.5376 0.7830  1 B 1.90
S 0.2008 0.9984 0.1597  1 B 1.87
S 0.2219 0.3544 0.3494  2 B 1.92-2.04
S 0.3544 0.2219 0.8494  2 B 1.92-2.04
S 0.4624 0.9259 0.7170  1 B 1.90
S 0.5376 0.0741 0.2830  1 B 1.90
S 0.6456 0.7781 0.1506  2 B 1.92-2.04
S 0.7781 0.6456 0.6506  2 B 1.92-2.04
S 0.7992 0.0016 0.8403  1 B 1.87
S 0.9259 0.4624 0.2170  1 B 1.90
S 0.9984 0.2008 0.6597  1 B 1.87

Values from the calculation:
Formation energy from raw total energies = -0.56 eV per atom

No. 4
Computed, not measured: a relaxed structure of SmBS at the PBE-GGA level of DFT.

abc: 4.1086 4.1086 10.8018
angles: 94.25 94.25 49.59
Last column: nearest neighbours and their distance in Å.
Element x y z (fractional)
Sm 0.2244 0.2244 0.3076  3 S 2.61-2.76, 4 B 2.92
Sm 0.7756 0.7756 0.6924  3 S 2.61-2.76, 4 B 2.92
B 0.2617 0.7383 0.5000  2 B 1.64-1.80
B 0.7383 0.2617 0.5000  2 B 1.64-1.80
S 0.1083 0.1083 0.8239  3 Sm 2.61-2.76
S 0.8917 0.8917 0.1761  3 Sm 2.61-2.76

Values from the calculation:
Formation energy from raw total energies = -0.76 eV per atom

No. 5
Computed, not measured: a relaxed structure of SmBS4 at the PBE-GGA level of DFT.

abc: 5.1682 8.7766 5.8646
angles: 90.00 98.43 90.00
Last column: nearest neighbours and their distance in Å.
Element x y z (fractional)
Sm 0.1295 0.2500 0.1696  7 S 2.71-2.92
Sm 0.8705 0.7500 0.8304  7 S 2.71-2.92
B 0.3336 0.7500 0.3628  4 S 1.86-2.00
B 0.6664 0.2500 0.6372  4 S 1.86-2.00
S 0.1649 0.5811 0.2086  1 B 1.88
S 0.1649 0.9189 0.2086  1 B 1.88
S 0.3041 0.2500 0.7206  1 B 2.00
S 0.3490 0.7500 0.6819  1 B 1.86
S 0.6510 0.2500 0.3181  1 B 1.86
S 0.6959 0.7500 0.2794  1 B 2.00
S 0.8351 0.0811 0.7914  1 B 1.88
S 0.8351 0.4189 0.7914  1 B 1.88

Values from the calculation:
Formation energy from raw total energies = -0.74 eV per atom

No. 6
Computed, not measured: a relaxed structure of SrSmBS4 at the PBE-GGA level of DFT.

abc: 6.1953 6.3300 8.0900
angles: 90.00 107.49 90.00
Last column: nearest neighbours and their distance in Å.
Element x y z (fractional)
Sr 0.2150 0.2500 0.4277  8 S 3.00-3.27
Sr 0.7850 0.7500 0.5723  8 S 3.00-3.27
Sm 0.2753 0.2500 0.9494  6 S 2.78-2.89
Sm 0.7247 0.7500 0.0506  6 S 2.78-2.89
B 0.2856 0.7500 0.1954  4 S 1.92-1.96
B 0.7144 0.2500 0.8046  4 S 1.92-1.96
S 0.0937 0.7500 0.3490  1 B 1.96
S 0.1206 0.7500 0.9467  1 B 1.96
S 0.4841 0.5091 0.2434  1 B 1.92
S 0.4841 0.9909 0.2434  1 B 1.92
S 0.5159 0.0091 0.7566  1 B 1.92
S 0.5159 0.4909 0.7566  1 B 1.92
S 0.8794 0.2500 0.0533  1 B 1.96
S 0.9063 0.2500 0.6510  1 B 1.96

Values from the calculation:
Formation energy from raw total energies = -1.51 eV per atom

Number 2 is which compound? Sm3BS6

What did the second record say?
Computed, not measured: a relaxed structure of Sm3BS6 at the PBE-GGA level of DFT.

abc: 8.5616 8.5616 6.3865
angles: 90.00 90.00 101.72
Last column: nearest neighbours and their distance in Å.
Element x y z (fractional)
Sm 0.1031 0.8969 0.5000  6 S 2.77-2.87
Sm 0.2151 0.4196 0.5907  6 S 2.71-3.00
Sm 0.4196 0.2151 0.0907  6 S 2.71-3.00
Sm 0.5804 0.7849 0.5907  6 S 2.71-3.00
Sm 0.7849 0.5804 0.0907  6 S 2.71-3.00
Sm 0.8969 0.1031 0.0000  6 S 2.77-2.87
B 0.3053 0.6947 0.1398  4 S 1.96-1.99
B 0.6947 0.3053 0.6398  4 S 1.96-1.99
S 0.0988 0.6081 0.2698  1 B 1.96
S 0.1347 0.1880 0.2972  4 Sm 2.71-2.77
S 0.1880 0.1347 0.7972  4 Sm 2.71-2.77
S 0.2925 0.7075 0.8345  1 B 1.96
S 0.3919 0.9012 0.2698  1 B 1.96
S 0.4448 0.5552 0.2517  1 B 1.99
S 0.5552 0.4448 0.7517  1 B 1.99
S 0.6081 0.0988 0.7698  1 B 1.96
S 0.7075 0.2925 0.3345  1 B 1.96
S 0.8120 0.8653 0.2972  4 Sm 2.71-2.77
S 0.8653 0.8120 0.7972  4 Sm 2.71-2.77
S 0.9012 0.3919 0.7698  1 B 1.96

Values from the calculation:
Formation energy from raw total energies = -1.62 eV per atom

Among the records above, which one has the lowest formation energy from raw total energies? Sm3BS6